! Sr3FeSe, optimized geometry, DFT GGA-PBEsol; values from VASP
&SYSTEM
  ibrav = 0, nat = 5, ntyp = 3
/
ATOMIC_SPECIES
Sr 87.62 Sr.upf
Fe 55.84 Fe.upf
Se 78.96 Se.upf
CELL_PARAMETERS angstrom
5.369 0.000 0.000
0.000 5.369 0.000
0.000 0.000 5.369
ATOMIC_POSITIONS angstrom
Sr 0.000 0.000 2.685
Sr 0.000 2.685 0.000
Sr 2.685 0.000 0.000
Fe 0.000 0.000 0.000
Se 2.685 2.685 2.685
! Total magnetic moment (μB per cell): 0.49
! ΔE_f (raw) (eV per atom): 0.0291



! Sr2FeSe, optimized geometry, DFT GGA-PBEsol; values from VASP
&SYSTEM
  ibrav = 0, nat = 4, ntyp = 3
/
ATOMIC_SPECIES
Sr 87.62 Sr.upf
Fe 55.84 Fe.upf
Se 78.96 Se.upf
CELL_PARAMETERS angstrom
5.263 0.000 0.000
0.000 5.263 0.000
0.000 0.000 3.717
ATOMIC_POSITIONS angstrom
Sr 0.000 2.631 0.000
Sr 2.631 0.000 0.000
Fe 0.000 0.000 1.858
Se 2.631 2.631 1.858
! Total magnetic moment (μB per cell): 2.32
! ΔE_f (raw) (eV per atom): -0.3064



! Ta11Fe2Se8, optimized geometry, DFT GGA-PBEsol; values from VASP
&SYSTEM
  ibrav = 0, nat = 42, ntyp = 3
/
ATOMIC_SPECIES
Ta 180.95 Ta.upf
Fe 55.84 Fe.upf
Se 78.96 Se.upf
CELL_PARAMETERS angstrom
12.051 0.000 0.000
0.000 19.399 0.000
0.000 0.000 3.367
ATOMIC_POSITIONS angstrom
Ta 0.000 0.000 0.000
Ta 0.639 4.750 0.000
Ta 0.758 2.260 1.684
Ta 1.840 15.270 1.684
Ta 2.063 6.856 1.684
Ta 2.173 18.367 1.684
Ta 3.852 8.667 0.000
Ta 3.962 16.555 0.000
Ta 4.186 5.570 0.000
Ta 5.268 11.960 0.000
Ta 5.387 14.450 1.684
Ta 6.025 9.699 1.684
Ta 6.664 4.949 1.684
Ta 6.783 7.439 0.000
Ta 7.865 13.828 0.000
Ta 8.089 2.843 0.000
Ta 8.199 10.731 0.000
Ta 9.878 1.032 1.684
Ta 9.988 12.542 1.684
Ta 10.211 4.129 1.684
Ta 11.293 17.138 1.684
Ta 11.412 14.648 0.000
Fe 1.137 16.937 0.000
Fe 4.889 7.238 1.684
Fe 7.162 12.161 1.684
Fe 10.914 2.461 0.000
Se 0.520 13.026 1.684
Se 1.311 8.688 0.000
Se 2.482 1.099 0.000
Se 2.609 4.183 1.684
Se 3.416 13.882 0.000
Se 3.543 10.798 1.684
Se 4.715 18.387 1.684
Se 5.505 3.327 0.000
Se 6.546 16.072 0.000
Se 7.336 1.011 1.684
Se 8.508 8.600 1.684
Se 8.635 5.517 0.000
Se 9.442 15.216 1.684
Se 9.569 18.300 0.000
Se 10.740 10.711 0.000
Se 11.531 6.373 1.684
! Total magnetic moment (μB per cell): 0.00
! ΔE_f (raw) (eV per atom): -0.5921



no.,energy (eV per atom)
1,-3.638
2,-4.430
3,-9.487